Below is an optimized crystal structure of Ho19Er6Tm4, with properties calculated at the GGA-PBE level.

The structure in POSCAR format:
```
Ho19Er6Tm4
1.0
10.0581 0.0000 -3.5561
-5.0290 8.7105 -3.5561
0.0000 0.0000 10.6683
Ho Er Tm
19 6 4
Direct
0.7376 0.0000 0.7376
0.2624 0.0000 0.2624
0.2624 0.2624 0.0000
0.7376 0.7376 0.0000
0.0000 0.7376 0.7376
0.0000 0.2624 0.2624
0.0000 0.0000 0.0000
0.1979 0.2129 0.5385
0.8021 0.3406 0.0150
0.6744 0.6594 0.4615
0.0150 0.8021 0.3406
0.3256 0.7871 0.9850
0.5385 0.1979 0.2129
0.9850 0.3256 0.7871
0.4615 0.6744 0.6594
0.7871 0.9850 0.3256
0.3406 0.0150 0.8021
0.2129 0.5385 0.1979
0.6594 0.4615 0.6744
0.3717 0.5000 0.8717
0.6283 0.5000 0.1283
0.1283 0.6283 0.5000
0.8717 0.3717 0.5000
0.5000 0.8717 0.3717
0.5000 0.1283 0.6283
0.0000 0.0000 0.6435
0.0000 0.6435 0.0000
0.3565 0.3565 0.3565
0.6435 0.0000 0.0000
```

Magnetic moment = 0.00 μB per cell
Uncorrected energy = -120.82 eV/f.u.
Space-group type = I23, No. 197
ΔE_f = 11.42 eV/f.u.

=====

Below is an optimized crystal structure of HoEr2Tm6, with properties calculated at the GGA-PBE level.

The structure in POSCAR format:
```
HoEr2Tm6
1.0
4.9351 0.0002 0.2203
0.0004 10.4625 0.0010
-0.4666 0.0009 10.4516
Ho Er Tm
2 4 12
Direct
0.5000 0.5000 0.0000
0.0000 0.0000 0.5000
0.0002 0.3332 0.8330
0.4998 0.8332 0.6670
0.5002 0.1668 0.3330
0.9998 0.6668 0.1670
0.0000 0.0001 0.1663
0.9998 0.6663 0.5003
0.9998 0.6670 0.8332
0.5002 0.1670 0.6668
0.5002 0.1663 0.9997
0.5000 0.5001 0.3337
0.0000 0.9999 0.8337
0.0002 0.3337 0.4997
0.0002 0.3330 0.1668
0.4998 0.8330 0.3332
0.4998 0.8337 0.0003
0.5000 0.4999 0.6663
```

Magnetic moment = 0.00 μB per cell
Uncorrected energy = -40.30 eV/f.u.
Space-group type = P4_2/mnm, No. 136
ΔE_f = 0.23 eV/f.u.

=====

Below is an optimized crystal structure of Ho2Er3Tm, with properties calculated at the GGA-PBE level.

The structure in POSCAR format:
```
Ho2Er3Tm
1.0
-2.9878 1.1435 -1.6165
-2.5411 -10.4377 -2.6865
-1.9072 3.7288 10.1365
Ho Er Tm
4 6 2
Direct
0.2780 0.6535 0.5560
0.7220 0.3465 0.4440
0.9449 0.8201 0.8897
0.0551 0.1799 0.1103
0.2779 0.1524 0.5558
0.0556 0.6809 0.1112
0.3891 0.5135 0.7782
0.7221 0.8476 0.4442
0.6109 0.4865 0.2218
0.9444 0.3191 0.8888
0.3886 0.0141 0.7773
0.6114 0.9859 0.2227
```

Magnetic moment = 0.00 μB per cell
Uncorrected energy = -27.32 eV/f.u.
Space-group type = C2/m, No. 12
ΔE_f = -0.01 eV/f.u.

=====

Below is an optimized crystal structure of Ho2Er5Tm2, with properties calculated at the GGA-PBE level.

The structure in POSCAR format:
```
Ho2Er5Tm2
1.0
-5.5973 -7.7119 6.4542
1.3630 -4.7311 -4.4710
8.3556 4.6644 2.5580
Ho Er Tm
4 10 4
Direct
0.0000 0.9959 0.0000
0.5000 0.4959 0.0000
0.2663 0.3653 0.5000
0.7337 0.8653 0.5000
0.2091 0.6581 0.8926
0.7909 0.7655 0.1074
0.1836 0.1581 0.8926
0.8165 0.2655 0.1074
0.3830 0.0326 0.2846
0.6170 0.7480 0.7154
0.4017 0.5326 0.2846
0.5983 0.2480 0.7154
0.9866 0.6500 0.5000
0.0134 0.1500 0.5000
0.1186 0.6885 0.2565
0.8814 0.4320 0.7435
0.6379 0.1885 0.2565
0.3621 0.9320 0.7435
```

Magnetic moment = 0.00 μB per cell
Uncorrected energy = -38.78 eV/f.u.
Space-group type = Ima2, No. 46
ΔE_f = 2.13 eV/f.u.

=====

Q: Look up the magnetic moment of the second one.
A: 0.00 μB per cell